A plane-wave DFT calculation with PBE-GGA was carried out for an optimized crystal structure of Tb3Pr5P8.

The structure in CIF format:
```
data_Tb3Pr5P8
_chemical_formula_sum 'Tb3 Pr5 P8'
_symmetry_space_group_name_H-M 'P 1'
_symmetry_Int_Tables_number 1
_cell_length_a 8.278
_cell_length_b 8.278
_cell_length_c 8.278
_cell_angle_alpha 60.00
_cell_angle_beta 60.00
_cell_angle_gamma 60.00
loop_
_symmetry_equiv_pos_as_xyz
'x,y,z'
loop_
_atom_site_label
_atom_site_type_symbol
_atom_site_fract_x
_atom_site_fract_y
_atom_site_fract_z
_atom_site_occupancy
Tb1 Tb 0.000 0.500 0.500 1
Tb2 Tb 0.500 0.000 0.500 1
Tb3 Tb 0.500 0.500 0.000 1
Pr1 Pr 0.000 0.000 0.000 1
Pr2 Pr 0.000 0.000 0.500 1
Pr3 Pr 0.000 0.500 0.000 1
Pr4 Pr 0.500 0.000 0.000 1
Pr5 Pr 0.500 0.500 0.500 1
P1 P 0.250 0.250 0.743 1
P2 P 0.250 0.743 0.250 1
P3 P 0.253 0.253 0.253 1
P4 P 0.257 0.750 0.750 1
P5 P 0.743 0.250 0.250 1
P6 P 0.747 0.747 0.747 1
P7 P 0.750 0.257 0.750 1
P8 P 0.750 0.750 0.257 1
```

## Properties
space group	R-3m (166)

A plane-wave DFT calculation with PBE-GGA was carried out for an optimized crystal structure of Tb2PrThP4.

The structure in CIF format:
```
data_Tb2PrThP4
_chemical_formula_sum 'Tb2 Pr1 Th1 P4'
_symmetry_space_group_name_H-M 'P 1'
_symmetry_Int_Tables_number 1
_cell_length_a 7.083
_cell_length_b 4.107
_cell_length_c 7.110
_cell_angle_alpha 90.00
_cell_angle_beta 109.48
_cell_angle_gamma 90.00
loop_
_symmetry_equiv_pos_as_xyz
'x,y,z'
loop_
_atom_site_label
_atom_site_type_symbol
_atom_site_fract_x
_atom_site_fract_y
_atom_site_fract_z
_atom_site_occupancy
Tb1 Tb 0.000 0.000 0.000 1
Tb2 Tb 0.000 0.500 0.500 1
Pr1 Pr 0.500 0.000 0.500 1
Th1 Th 0.500 0.500 0.000 1
P1 P 0.242 0.500 0.244 1
P2 P 0.243 0.000 0.751 1
P3 P 0.757 0.000 0.249 1
P4 P 0.758 0.500 0.756 1
```

## Properties
space group	P2/m (10)

A plane-wave DFT calculation with PBE-GGA was carried out for an optimized crystal structure of TbPr2ThP4.

The structure in CIF format:
```
data_TbPr2ThP4
_chemical_formula_sum 'Tb1 Pr2 Th1 P4'
_symmetry_space_group_name_H-M 'P 1'
_symmetry_Int_Tables_number 1
_cell_length_a 7.164
_cell_length_b 4.149
_cell_length_c 7.193
_cell_angle_alpha 90.00
_cell_angle_beta 109.42
_cell_angle_gamma 90.00
loop_
_symmetry_equiv_pos_as_xyz
'x,y,z'
loop_
_atom_site_label
_atom_site_type_symbol
_atom_site_fract_x
_atom_site_fract_y
_atom_site_fract_z
_atom_site_occupancy
Tb1 Tb 0.000 0.000 0.000 1
Pr1 Pr 0.000 0.500 0.500 1
Pr2 Pr 0.500 0.000 0.500 1
Th1 Th 0.500 0.500 0.000 1
P1 P 0.245 0.500 0.240 1
P2 P 0.251 0.000 0.758 1
P3 P 0.749 0.000 0.242 1
P4 P 0.755 0.500 0.760 1
```

## Properties
space group	P2/m (10)

A plane-wave DFT calculation with PBE-GGA was carried out for an optimized crystal structure of TbPr3Th2P6.

The structure in CIF format:
```
data_TbPr3Th2P6
_chemical_formula_sum 'Tb1 Pr3 Th2 P6'
_symmetry_space_group_name_H-M 'P 1'
_symmetry_Int_Tables_number 1
_cell_length_a 7.196
_cell_length_b 7.196
_cell_length_c 7.204
_cell_angle_alpha 99.57
_cell_angle_beta 99.57
_cell_angle_gamma 120.05
loop_
_symmetry_equiv_pos_as_xyz
'x,y,z'
loop_
_atom_site_label
_atom_site_type_symbol
_atom_site_fract_x
_atom_site_fract_y
_atom_site_fract_z
_atom_site_occupancy
Tb1 Tb 0.000 0.000 0.000 1
Pr1 Pr 0.167 0.833 0.500 1
Pr2 Pr 0.500 0.500 0.500 1
Pr3 Pr 0.833 0.167 0.500 1
Th1 Th 0.333 0.667 0.000 1
Th2 Th 0.667 0.333 0.000 1
P1 P 0.080 0.412 0.241 1
P2 P 0.251 0.251 0.758 1
P3 P 0.412 0.080 0.241 1
P4 P 0.588 0.920 0.759 1
P5 P 0.749 0.749 0.242 1
P6 P 0.920 0.588 0.759 1
```

## Properties
space group	C2/m (12)

A plane-wave DFT calculation with PBE-GGA was carried out for an optimized crystal structure of Tb3PrTh2P6.

The structure in CIF format:
```
data_Tb3PrTh2P6
_chemical_formula_sum 'Tb3 Pr1 Th2 P6'
_symmetry_space_group_name_H-M 'P 1'
_symmetry_Int_Tables_number 1
_cell_length_a 9.151
_cell_length_b 9.151
_cell_length_c 8.177
_cell_angle_alpha 102.68
_cell_angle_beta 102.68
_cell_angle_gamma 25.92
loop_
_symmetry_equiv_pos_as_xyz
'x,y,z'
loop_
_atom_site_label
_atom_site_type_symbol
_atom_site_fract_x
_atom_site_fract_y
_atom_site_fract_z
_atom_site_occupancy
Tb1 Tb 0.000 0.000 0.000 1
Tb2 Tb 0.335 0.335 0.666 1
Tb3 Tb 0.665 0.665 0.334 1
Pr1 Pr 0.000 0.000 0.500 1
Th1 Th 0.334 0.334 0.169 1
Th2 Th 0.666 0.666 0.831 1
P1 P 0.166 0.166 0.086 1
P2 P 0.169 0.169 0.582 1
P3 P 0.499 0.499 0.758 1
P4 P 0.501 0.501 0.242 1
P5 P 0.831 0.831 0.418 1
P6 P 0.834 0.834 0.914 1
```

## Properties
space group	C2/m (12)

A plane-wave DFT calculation with PBE-GGA was carried out for an optimized crystal structure of TbPr2TmP4.

The structure in CIF format:
```
data_TbPr2TmP4
_chemical_formula_sum 'Tb1 Pr2 Tm1 P4'
_symmetry_space_group_name_H-M 'P 1'
_symmetry_Int_Tables_number 1
_cell_length_a 7.092
_cell_length_b 4.100
_cell_length_c 7.098
_cell_angle_alpha 90.00
_cell_angle_beta 109.47
_cell_angle_gamma 90.00
loop_
_symmetry_equiv_pos_as_xyz
'x,y,z'
loop_
_atom_site_label
_atom_site_type_symbol
_atom_site_fract_x
_atom_site_fract_y
_atom_site_fract_z
_atom_site_occupancy
Tb1 Tb 0.000 0.000 0.000 1
Pr1 Pr 0.500 0.000 0.500 1
Pr2 Pr 0.500 0.500 0.000 1
Tm1 Tm 0.000 0.500 0.500 1
P1 P 0.236 0.000 0.743 1
P2 P 0.238 0.500 0.248 1
P3 P 0.762 0.500 0.752 1
P4 P 0.764 0.000 0.257 1
```

## Properties
space group	P2/m (10)

A plane-wave DFT calculation with PBE-GGA was carried out for an optimized crystal structure of Tb3PrTm2P6.

The structure in CIF format:
```
data_Tb3PrTm2P6
_chemical_formula_sum 'Tb3 Pr1 Tm2 P6'
_symmetry_space_group_name_H-M 'P 1'
_symmetry_Int_Tables_number 1
_cell_length_a 6.986
_cell_length_b 6.986
_cell_length_c 6.987
_cell_angle_alpha 99.60
_cell_angle_beta 99.60
_cell_angle_gamma 120.00
loop_
_symmetry_equiv_pos_as_xyz
'x,y,z'
loop_
_atom_site_label
_atom_site_type_symbol
_atom_site_fract_x
_atom_site_fract_y
_atom_site_fract_z
_atom_site_occupancy
Tb1 Tb 0.000 0.000 0.000 1
Tb2 Tb 0.335 0.665 0.000 1
Tb3 Tb 0.665 0.335 0.000 1
Pr1 Pr 0.500 0.500 0.500 1
Tm1 Tm 0.167 0.833 0.500 1
Tm2 Tm 0.833 0.167 0.500 1
P1 P 0.075 0.416 0.250 1
P2 P 0.242 0.242 0.749 1
P3 P 0.416 0.075 0.250 1
P4 P 0.584 0.925 0.750 1
P5 P 0.758 0.758 0.251 1
P6 P 0.925 0.584 0.750 1
```

## Properties
space group	C2/m (12)

A plane-wave DFT calculation with PBE-GGA was carried out for an optimized crystal structure of Tb2PrYP4.

The structure in CIF format:
```
data_Tb2PrYP4
_chemical_formula_sum 'Tb2 Pr1 Y1 P4'
_symmetry_space_group_name_H-M 'P 1'
_symmetry_Int_Tables_number 1
_cell_length_a 7.048
_cell_length_b 4.072
_cell_length_c 7.049
_cell_angle_alpha 90.00
_cell_angle_beta 109.46
_cell_angle_gamma 90.00
loop_
_symmetry_equiv_pos_as_xyz
'x,y,z'
loop_
_atom_site_label
_atom_site_type_symbol
_atom_site_fract_x
_atom_site_fract_y
_atom_site_fract_z
_atom_site_occupancy
Tb1 Tb 0.000 0.000 0.000 1
Tb2 Tb 0.500 0.500 0.000 1
Pr1 Pr 0.000 0.500 0.500 1
Y1 Y 0.500 0.000 0.500 1
P1 P 0.254 0.500 0.247 1
P2 P 0.257 0.000 0.757 1
P3 P 0.743 0.000 0.243 1
P4 P 0.746 0.500 0.753 1
```

## Properties
space group	P2/m (10)

A plane-wave DFT calculation with PBE-GGA was carried out for an optimized crystal structure of Tb3PrY2P6.

The structure in CIF format:
```
data_Tb3PrY2P6
_chemical_formula_sum 'Tb3 Pr1 Y2 P6'
_symmetry_space_group_name_H-M 'P 1'
_symmetry_Int_Tables_number 1
_cell_length_a 7.022
_cell_length_b 7.022
_cell_length_c 7.024
_cell_angle_alpha 99.59
_cell_angle_beta 99.59
_cell_angle_gamma 119.99
loop_
_symmetry_equiv_pos_as_xyz
'x,y,z'
loop_
_atom_site_label
_atom_site_type_symbol
_atom_site_fract_x
_atom_site_fract_y
_atom_site_fract_z
_atom_site_occupancy
Tb1 Tb 0.000 0.000 0.000 1
Tb2 Tb 0.334 0.666 0.000 1
Tb3 Tb 0.666 0.334 0.000 1
Pr1 Pr 0.500 0.500 0.500 1
Y1 Y 0.167 0.833 0.500 1
Y2 Y 0.833 0.167 0.500 1
P1 P 0.076 0.416 0.247 1
P2 P 0.245 0.245 0.753 1
P3 P 0.416 0.076 0.247 1
P4 P 0.584 0.924 0.753 1
P5 P 0.755 0.755 0.247 1
P6 P 0.924 0.584 0.753 1
```

## Properties
space group	C2/m (12)

A plane-wave DFT calculation with PBE-GGA was carried out for an optimized crystal structure of TbPr2ZrP4.

The structure in CIF format:
```
data_TbPr2ZrP4
_chemical_formula_sum 'Tb1 Pr2 Zr1 P4'
_symmetry_space_group_name_H-M 'P 1'
_symmetry_Int_Tables_number 1
_cell_length_a 6.976
_cell_length_b 4.025
_cell_length_c 7.001
_cell_angle_alpha 90.00
_cell_angle_beta 109.22
_cell_angle_gamma 90.00
loop_
_symmetry_equiv_pos_as_xyz
'x,y,z'
loop_
_atom_site_label
_atom_site_type_symbol
_atom_site_fract_x
_atom_site_fract_y
_atom_site_fract_z
_atom_site_occupancy
Tb1 Tb 0.000 0.000 0.000 1
Pr1 Pr 0.000 0.500 0.500 1
Pr2 Pr 0.500 0.000 0.500 1
Zr1 Zr 0.500 0.500 0.000 1
P1 P 0.253 0.500 0.232 1
P2 P 0.266 0.000 0.773 1
P3 P 0.734 0.000 0.227 1
P4 P 0.747 0.500 0.768 1
```

## Properties
space group	P2/m (10)

A plane-wave DFT calculation with PBE-GGA was carried out for an optimized crystal structure of Tb2PrZrP4.

The structure in CIF format:
```
data_Tb2PrZrP4
_chemical_formula_sum 'Tb2 Pr1 Zr1 P4'
_symmetry_space_group_name_H-M 'P 1'
_symmetry_Int_Tables_number 1
_cell_length_a 6.902
_cell_length_b 3.990
_cell_length_c 6.925
_cell_angle_alpha 90.00
_cell_angle_beta 109.24
_cell_angle_gamma 90.00
loop_
_symmetry_equiv_pos_as_xyz
'x,y,z'
loop_
_atom_site_label
_atom_site_type_symbol
_atom_site_fract_x
_atom_site_fract_y
_atom_site_fract_z
_atom_site_occupancy
Tb1 Tb 0.000 0.000 0.000 1
Tb2 Tb 0.000 0.500 0.500 1
Pr1 Pr 0.500 0.000 0.500 1
Zr1 Zr 0.500 0.500 0.000 1
P1 P 0.250 0.500 0.236 1
P2 P 0.259 0.000 0.766 1
P3 P 0.741 0.000 0.234 1
P4 P 0.750 0.500 0.764 1
```

## Properties
space group	P2/m (10)

A plane-wave DFT calculation with PBE-GGA was carried out for an optimized crystal structure of PrTc5P3.

The structure in CIF format:
```
data_PrTc5P3
_chemical_formula_sum 'Pr2 Tc10 P6'
_symmetry_space_group_name_H-M 'P 1'
_symmetry_Int_Tables_number 1
_cell_length_a 6.674
_cell_length_b 6.674
_cell_length_c 11.526
_cell_angle_alpha 90.00
_cell_angle_beta 90.00
_cell_angle_gamma 144.87
loop_
_symmetry_equiv_pos_as_xyz
'x,y,z'
loop_
_atom_site_label
_atom_site_type_symbol
_atom_site_fract_x
_atom_site_fract_y
_atom_site_fract_z
_atom_site_occupancy
Pr1 Pr 0.173 0.827 0.750 1
Pr2 Pr 0.827 0.173 0.250 1
Tc1 Tc 0.000 0.000 0.000 1
Tc2 Tc 0.000 0.000 0.500 1
Tc3 Tc 0.193 0.807 0.062 1
Tc4 Tc 0.193 0.807 0.438 1
Tc5 Tc 0.459 0.541 0.646 1
Tc6 Tc 0.459 0.541 0.854 1
Tc7 Tc 0.541 0.459 0.146 1
Tc8 Tc 0.541 0.459 0.354 1
Tc9 Tc 0.807 0.193 0.562 1
Tc10 Tc 0.807 0.193 0.938 1
P1 P 0.124 0.876 0.250 1
P2 P 0.373 0.627 0.048 1
P3 P 0.373 0.627 0.452 1
P4 P 0.627 0.373 0.548 1
P5 P 0.627 0.373 0.952 1
P6 P 0.876 0.124 0.750 1
```

## Properties
space group	Cmcm (63)

VASP energy list, top to bottom, in hartree per atom: -0.243 -0.256 -0.256 -0.261 -0.260 -0.242 -0.242 -0.252 -0.255 -0.259 -0.258 -0.315
Total magnetic moment list, top to bottom, in μB per formula unit: 0.0 0.0 0.0 0.0 0.0 0.0 0.0 0.0 0.0 0.0 0.0 0.0
DFT formation energy list, top to bottom, in kJ/mol of formula units: -2380 -1228 -1214 -1818 -1840 -1195 -1829 -1221 -1845 -1149 -1154 -413